This record from the Alexandria database describes a crystal of KZnTe2I relaxed with PBEsol. The functional is meta-GGA SCAN.

Output
- Space-group type: P4/mmm

Unit cell a=5.235 b=5.235 c=6.137 alpha=90.00 beta=90.00 gamma=90.00
Fractional positions:
K  0.000  0.000  0.000
Zn  0.500  0.500  0.500
Te  0.000  0.500  0.500
Te  0.500  0.000  0.500
I  0.500  0.500  0.000



This record from the Alexandria database describes a crystal of Rb2VO2F4 relaxed with PBEsol. The functional is meta-GGA SCAN.

Output
- Space-group type: Cmcm

Unit cell a=6.227 b=6.227 c=8.087 alpha=90.00 beta=90.00 gamma=89.11
Fractional positions:
Rb  0.243  0.243  0.000
Rb  0.243  0.243  0.500
Rb  0.757  0.757  0.000
Rb  0.757  0.757  0.500
V  0.268  0.732  0.750
V  0.732  0.268  0.250
O  0.042  0.958  0.750
O  0.456  0.544  0.750
O  0.544  0.456  0.250
O  0.958  0.042  0.250
F  0.046  0.533  0.750
F  0.231  0.769  0.527
F  0.231  0.769  0.973
F  0.467  0.954  0.750
F  0.533  0.046  0.250
F  0.769  0.231  0.027
F  0.769  0.231  0.473
F  0.954  0.467  0.250



Raw formation energy across the listed records, respectively: -384, -2593 meV/atom.
Total magnetization across the listed records, respectively: 0.000, 2.000 μB per cell.
Calculated total energy across the listed records, respectively: -27.001, -12.103 eV/atom.